<A>
Entry from the Open Quantum Materials Database: a relaxed structure of Cu5Ag4 (PBE).

It has space group Imm2 (No. 44), with a = 2.8221 Å, b = 3.5618 Å, c = 26.1650 Å, α = 90.00°, β = 90.00° and γ = 90.00°. The distinct sites, in fractional coordinates, are Cu at (0.0000, 0.0000, 0.0000), Cu at (0.0000, 0.0000, 0.1124), Cu at (0.0000, 0.0000, 0.3191), Cu at (0.0000, 0.0000, 0.6592), Cu at (0.0000, 0.0000, 0.7724), Ag at (0.0000, 0.0000, 0.2157), Ag at (0.0000, 0.0000, 0.4435), Ag at (0.0000, 0.0000, 0.5559) and Ag at (0.0000, 0.0000, 0.8762).


<B>
Entry from the Open Quantum Materials Database: a relaxed structure of Cu5Ag4 (PBE).

It has space group P-3m1 (No. 164), with a = 2.7832 Å, b = 2.7832 Å, c = 19.7451 Å, α = 90.00°, β = 90.00° and γ = 120.00°. The distinct sites, in fractional coordinates, are Cu at (0.0000, 0.0000, 0.0000), Cu at (0.0000, 0.0000, 0.3519), Cu at (0.3333, 0.6667, 0.5497), Ag at (0.3333, 0.6667, 0.2391) and Ag at (0.3333, 0.6667, 0.8881).


Each structure's energy above the most stable one, in eV/atom: <A> 0.000; <B> 0.008.


<A>
Entry from the Open Quantum Materials Database: a relaxed structure of Cu4Ag (PBE).

It has space group C2/m (No. 12), with a = 13.5475 Å, b = 3.6512 Å, c = 5.3773 Å, α = 90.00°, β = 101.48° and γ = 90.00°. The distinct sites, in fractional coordinates, are Cu at (0.0006, 0.0000, 0.2688), Cu at (0.0997, 0.5000, 0.5492), Cu at (0.1989, 0.0000, 0.8349), Cu at (0.2047, 0.0000, 0.3622) and Ag at (0.1037, 0.5000, 0.0527).


<B>
Entry from the Open Quantum Materials Database: a relaxed structure of Cu4Ag (PBE).

It has space group Pmmn (No. 59, origin choice 2), with a = 2.6853 Å, b = 3.5044 Å, c = 13.9215 Å, α = 90.00°, β = 90.00° and γ = 90.00°. The distinct sites, in fractional coordinates, are Cu at (0.2500, 0.2500, 0.0461), Cu at (0.2500, 0.2500, 0.2302), Cu at (0.2500, 0.2500, 0.6798), Cu at (0.2500, 0.2500, 0.8624) and Ag at (0.2500, 0.2500, 0.4328).


Each structure's energy above the most stable one, in eV/atom: <A> 0.020; <B> 0.000.